Compound: NdSm2Er2
Source: the Alexandria database
Functional: PBE
Structure: relaxed

Summary:
The excess energy over the best structure of this formula in the dataset is 0.000 eV per atom. The crystal system is monoclinic. Its density of states at the Fermi level is 27.3 states/eV/cell. Its formation energy is 0.28 eV per atom. The calculation puts the total energy at -4.390 eV per atom.

Cell lengths 9.3865, 13.5063, 6.0302 Å; angles 90.00, 114.73, 90.00 degrees
Closest atoms and distances in Å follow each position.
Space group C2/c (No. 15)
Unique sites:
1 Nd 0.0000 0.0696 0.2500 (multiplicity 4)  4 Sm 3.39-3.46, 4 Er 3.50-3.65, 2 Nd 3.55
2 Sm 0.1835 0.4260 0.8829 (multiplicity 8)  1 Sm 3.13, 2 Er 3.34-3.42, 2 Nd 3.39-3.46
3 Er 0.0000 0.2010 0.7500 (multiplicity 4)  4 Sm 3.34-3.42, 3 Nd 3.50-3.65, 2 Er 3.51
4 Er 0.0000 0.3337 0.2500 (multiplicity 4)  2 Er 3.51, 6 Sm 3.55-3.69, 1 Nd 3.57

***

Compound: LiY2Ir
Source: the Alexandria database
Functional: PBE
Structure: relaxed

Summary:
The crystal system is orthorhombic. Its density of states at the Fermi level is 8.2 states/eV/cell. Its formation energy is -0.39 eV per atom. The calculation puts the total energy at -6.319 eV per atom.

Cell lengths 4.3329, 3.9485, 10.5447 Å; angles 90.00, 90.00, 90.00 degrees
Closest atoms and distances in Å follow each position.
Space group Amm2 (No. 38)
Unique sites:
1 Li 0.0000 0.0000 0.0000 (multiplicity 2)  2 Ir 2.61, 2 Y 2.91
2 Y 0.0000 0.0000 0.2973 (multiplicity 2)  3 Li 2.91-3.14, 4 Ir 3.01
3 Y 0.5000 0.0000 0.5736 (multiplicity 2)  3 Ir 2.98-3.04, 4 Li 3.03
4 Ir 0.5000 0.0000 0.8614 (multiplicity 2)  2 Li 2.61

***

Compound: MgBe2Al
Source: the Alexandria database
Functional: PBE
Structure: relaxed

Summary:
The excess energy over the best structure of this formula in the dataset is 0.052 eV per atom. The crystal system is monoclinic. Its density of states at the Fermi level is 1.7 states/eV/cell. Its formation energy is 0.10 eV per atom. The calculation puts the total energy at -3.097 eV per atom.

Cell lengths 4.2470, 3.6472, 7.5572 Å; angles 90.00, 100.81, 90.00 degrees
Closest atoms and distances in Å follow each position.
Space group P2_1/m (No. 11)
Unique sites:
1 Mg 0.2085 0.2500 0.3685 (multiplicity 2)  1 Be 2.61, 3 Al 2.85-2.92
2 Be 0.1290 0.7500 0.0373 (multiplicity 2)  6 Be 2.15-2.25
3 Be 0.4050 0.2500 0.0612 (multiplicity 2)  6 Be 2.16-2.26, 1 Al 2.30
4 Al 0.3241 0.2500 0.7523 (multiplicity 2)  4 Be 2.30-2.56